VASP calculation (PBE+U) on an optimized crystal structure of Ba2LiSmCoCu2O7.

Cell: 3.813 4.086 13.111 Å, 90.00 90.00 90.00°
Fractional positions:
Ba: 0.000 0.000 0.000
Ba: 0.000 0.000 0.320
Li: 0.000 0.500 0.475
Sm: 0.000 0.000 0.717
Co: 0.500 0.500 0.181
Cu: 0.500 0.500 0.606
Cu: 0.500 0.500 0.846
O: 0.000 0.500 0.612
O: 0.000 0.500 0.830
O: 0.500 0.000 0.185
O: 0.500 0.000 0.604
O: 0.500 0.000 0.836
O: 0.500 0.500 0.039
O: 0.500 0.500 0.343

Values from the calculation:
offset from the most stable computed form = 96 meV per atom
calculated total energy = -5.8686 eV per atom
space group = Pmm2